## a
Here is crystalline AgSeBr2 at its relaxed geometry from Alexandria. Energies are from PBE-GGA.

Values from the calculation:
SG = C2/m
crystal system = monoclinic
total moment = 0.0000 μB per atom

Lattice parameters (Å, degrees): 5.3704 5.3704 5.4107 61.67 61.67 93.37
Closest atoms and distances in Å follow each position.
Fractional positions:
Ag 0.0000 0.5000 0.5000  4 Br 2.76
Br 0.0000 0.0000 0.0000  2 Se 2.76, 2 Ag 2.76
Br 0.5000 0.5000 0.0000  2 Ag 2.76, 2 Se 2.76
Se 0.5000 0.0000 0.5000  4 Br 2.76

***

## b
Here is crystalline AgSeBr2 at its relaxed geometry from Alexandria. Energies are from PBE-GGA.

Values from the calculation:
SG = P2/m
crystal system = monoclinic
total moment = 0.0000 μB per atom

Lattice parameters (Å, degrees): 4.2091 5.1613 5.1485 90.62 90.00 90.00
Closest atoms and distances in Å follow each position.
Fractional positions:
Ag 0.5000 0.7500 0.7500  4 Br 2.77
Br 0.0000 0.9980 0.9979  2 Ag 2.77, 2 Se 2.79
Br 0.0000 0.5020 0.5021  2 Ag 2.77, 2 Se 2.79
Se 0.5000 0.2500 0.2500  4 Br 2.79

***

It is a that is most stable; the runner-up trails by 100 meV per atom.

***

## a
Here is crystalline SrNiRh2 at its relaxed geometry from Alexandria. Energies are from PBE-GGA.

Values from the calculation:
SG = F-43m
crystal system = cubic
total moment = 0.4630 μB per atom

Lattice parameters (Å, degrees): 4.6296 4.6296 4.6296 60.00 60.00 60.00
Closest atoms and distances in Å follow each position.
Fractional positions:
Ni 0.5000 0.5000 0.5000  4 Rh 2.84, 4 Sr 2.84
Rh 0.0000 0.0000 0.0000  4 Rh 2.84, 4 Sr 2.84
Rh 0.7500 0.7500 0.7500  4 Rh 2.84, 4 Ni 2.84
Sr 0.2500 0.2500 0.2500  4 Ni 2.84, 4 Rh 2.84

***

## b
Here is crystalline SrNiRh2 at its relaxed geometry from Alexandria. Energies are from PBE-GGA.

Values from the calculation:
SG = Cmmm
crystal system = orthorhombic
total moment = 0.0004 μB per atom

Lattice parameters (Å, degrees): 4.9573 4.9573 2.9338 90.00 90.00 109.01
Closest atoms and distances in Å follow each position.
Fractional positions:
Ni 0.0000 0.5000 0.5000  2 Sr 2.88, 8 Rh 2.88, 2 Ni 2.93
Rh 0.0000 0.0000 0.0000  4 Rh 2.88-2.93, 4 Ni 2.88, 4 Sr 2.88
Rh 0.5000 0.5000 0.0000  4 Rh 2.88-2.93, 4 Sr 2.88, 4 Ni 2.88
Sr 0.5000 0.0000 0.5000  2 Ni 2.88, 8 Rh 2.88, 2 Sr 2.93

***

It is a that is most stable; the runner-up trails by 7 meV per atom.

***

## a
Here is crystalline B5C7 at its relaxed geometry from Alexandria. Energies are from PBE-GGA.

Values from the calculation:
SG = Cm
crystal system = monoclinic
total moment = 0.0000 μB per atom

Lattice parameters (Å, degrees): 7.0491 6.9802 6.9802 158.25 141.94 44.20
Closest atoms and distances in Å follow each position.
Fractional positions:
B 0.9800 0.3295 0.6505  3 C 1.62
B 0.5638 0.1738 0.3900  3 C 1.57-1.61
B 0.1447 0.1187 0.0259  4 B 1.78-1.82
B 0.9839 0.9820 0.0019  3 C 1.55-1.61
B 0.9810 0.6766 0.3044  2 C 1.58-1.63
C 0.6074 0.2953 0.3121  2 C 1.59, 2 B 1.61-1.62
C 0.6141 0.9564 0.6577  3 C 1.59, 1 B 1.61
C 0.4852 0.8340 0.6512  4 C 1.53-1.59
C 0.1321 0.7972 0.3350  1 C 1.53, 3 B 1.58-1.62
C 0.6097 0.6175 0.9923  1 C 1.55, 3 B 1.57-1.63
C 0.4993 0.4986 0.0007  4 C 1.52-1.59
C 0.1489 0.4705 0.6784  1 C 1.52, 2 B 1.55

***

## b
Here is crystalline B5C7 at its relaxed geometry from Alexandria. Energies are from PBE-GGA.

Values from the calculation:
SG = P-4m2
crystal system = tetragonal
total moment = 0.0000 μB per atom

Lattice parameters (Å, degrees): 2.5332 2.5332 12.2026 90.00 90.00 90.00
Closest atoms and distances in Å follow each position.
Fractional positions:
B 0.5000 0.0000 0.9152  4 C 1.61-1.70
B 0.5000 0.5000 0.5023  4 C 1.61-1.68
B 0.0000 0.5000 0.7515  4 C 1.61-1.70
B 0.5000 0.5000 0.1644  4 C 1.61-1.68
B 0.0000 0.0000 0.3333  4 C 1.65
C 0.5000 0.5000 0.8333  4 B 1.61
C 0.5000 0.0000 0.5931  2 C 1.50
C 0.0000 0.0000 0.6589  2 C 1.50
C 0.5000 0.0000 0.2465  4 B 1.61-1.65
C 0.0000 0.5000 0.4202  4 B 1.61-1.65
C 0.0000 0.0000 0.0078  2 C 1.50
C 0.0000 0.5000 0.0735  2 C 1.50

***

It is b that is most stable; the runner-up trails by 34 meV per atom.

***

## a
Here is crystalline TlOs3 at its relaxed geometry from Alexandria. Energies are from PBE-GGA.

Values from the calculation:
SG = I4/mmm
crystal system = tetragonal
total moment = 0.0862 μB per atom

Lattice parameters (Å, degrees): 8.5226 8.5226 8.5226 152.84 152.84 38.79
Closest atoms and distances in Å follow each position.
Fractional positions:
Tl 0.6227 0.6227 0.0000  12 Os 2.81-2.86
Tl 0.3773 0.3773 0.0000  12 Os 2.81-2.86
Os 0.0000 0.5000 0.5000  4 Tl 2.81, 8 Os 2.83-2.89
Os 0.5000 0.0000 0.5000  4 Tl 2.81, 8 Os 2.83-2.89
Os 0.7500 0.2500 0.5000  8 Os 2.79-2.83, 4 Tl 2.86
Os 0.2500 0.7500 0.5000  8 Os 2.79-2.83, 4 Tl 2.86
Os 0.8707 0.8707 0.0000  8 Os 2.79-2.89, 4 Tl 2.83
Os 0.1293 0.1293 0.0000  8 Os 2.79-2.89, 4 Tl 2.83

***

## b
Here is crystalline TlOs3 at its relaxed geometry from Alexandria. Energies are from PBE-GGA.

Values from the calculation:
SG = Pnma
crystal system = orthorhombic
total moment = 0.0000 μB per atom

Lattice parameters (Å, degrees): 5.5850 5.2423 8.9869 90.00 90.00 90.00
Closest atoms and distances in Å follow each position.
Fractional positions:
Tl 0.6202 0.9483 0.7500  9 Os 2.71-3.01, 2 Tl 3.00
Tl 0.1202 0.5517 0.2500  9 Os 2.71-3.01, 2 Tl 3.00
Tl 0.8798 0.4483 0.7500  9 Os 2.71-3.01, 2 Tl 3.00
Tl 0.3798 0.0517 0.2500  9 Os 2.71-3.01, 2 Tl 3.00
Os 0.1361 0.9042 0.7500  8 Os 2.62-2.91, 3 Tl 2.71-2.89
Os 0.6361 0.5958 0.2500  8 Os 2.62-2.91, 3 Tl 2.71-2.89
Os 0.3639 0.4042 0.7500  8 Os 2.62-2.91, 3 Tl 2.71-2.89
Os 0.8639 0.0958 0.2500  8 Os 2.62-2.91, 3 Tl 2.71-2.89
Os 0.6489 0.3074 0.0114  8 Os 2.62-2.88, 1 Tl 2.78
Os 0.1489 0.1926 0.9886  8 Os 2.62-2.88, 1 Tl 2.78
Os 0.8511 0.8074 0.4886  8 Os 2.62-2.88, 1 Tl 2.78
Os 0.3511 0.6926 0.5114  8 Os 2.62-2.88, 1 Tl 2.78
Os 0.3511 0.6926 0.9886  8 Os 2.62-2.88, 1 Tl 2.78
Os 0.8511 0.8074 0.0114  8 Os 2.62-2.88, 1 Tl 2.78
Os 0.1489 0.1926 0.5114  8 Os 2.62-2.88, 1 Tl 2.78
Os 0.6489 0.3074 0.4886  8 Os 2.62-2.88, 1 Tl 2.78

***

It is b that is most stable; the runner-up trails by 257 meV per atom.

***

## a
Here is crystalline TmAl3Fe at its relaxed geometry from Alexandria. Energies are from PBE-GGA.

Values from the calculation:
SG = Cmcm
crystal system = orthorhombic
total moment = 0.2504 μB per atom

Lattice parameters (Å, degrees): 5.2175 5.6933 6.5425 115.79 90.00 90.00
Closest atoms and distances in Å follow each position.
Fractional positions:
Tm 0.2500 0.4012 0.8024  8 Al 2.99-3.12, 4 Fe 3.34
Tm 0.7500 0.5988 0.1976  8 Al 2.99-3.12, 4 Fe 3.34
Al 0.2500 0.8236 0.6473  2 Fe 2.45, 2 Al 2.68
Al 0.7500 0.1764 0.3527  2 Fe 2.45, 2 Al 2.68
Al 0.2500 0.3735 0.2680  2 Fe 2.46, 2 Al 2.68-2.73
Al 0.7500 0.6265 0.7320  2 Fe 2.46, 2 Al 2.68-2.73
Al 0.2500 0.8945 0.2680  2 Fe 2.46, 2 Al 2.68-2.73
Al 0.7500 0.1055 0.7320  2 Fe 2.46, 2 Al 2.68-2.73
Fe 0.0000 0.0000 0.0000  6 Al 2.45-2.46, 2 Fe 2.61
Fe 0.5000 0.0000 0.0000  6 Al 2.45-2.46, 2 Fe 2.61

***

## b
Here is crystalline TmAl3Fe at its relaxed geometry from Alexandria. Energies are from PBE-GGA.

Values from the calculation:
SG = Pm-3m
crystal system = cubic
total moment = 0.0000 μB per atom

Lattice parameters (Å, degrees): 4.4872 4.4872 4.4872 90.00 90.00 90.00
Closest atoms and distances in Å follow each position.
Fractional positions:
Tm 0.5000 0.5000 0.5000  12 Al 3.17
Fe 0.0000 0.0000 0.0000  6 Al 2.24
Al 0.0000 0.5000 0.0000  2 Fe 2.24
Al 0.0000 0.0000 0.5000  2 Fe 2.24
Al 0.5000 0.0000 0.0000  2 Fe 2.24

***

It is a that is most stable; the runner-up trails by 76 meV per atom.

***

## a
Here is crystalline NaTlAs at its relaxed geometry from Alexandria. Energies are from PBE-GGA.

Values from the calculation:
SG = F-43m
crystal system = cubic
total moment = 0.0000 μB per atom

Lattice parameters (Å, degrees): 4.9614 4.9614 4.9614 60.00 60.00 60.00
Closest atoms and distances in Å follow each position.
Fractional positions:
Na 0.0000 0.0000 0.0000  4 As 3.04
Tl 0.5000 0.5000 0.5000  4 As 3.04
As 0.2500 0.2500 0.2500  4 Tl 3.04, 4 Na 3.04

***

## b
Here is crystalline NaTlAs at its relaxed geometry from Alexandria. Energies are from PBE-GGA.

Values from the calculation:
SG = P3m1
crystal system = trigonal
total moment = 0.0000 μB per atom

Lattice parameters (Å, degrees): 3.3448 5.0947 5.0947 120.00 90.00 90.00
Closest atoms and distances in Å follow each position.
Fractional positions:
Na 0.6453 0.6667 0.3333  3 As 3.15, 3 Tl 3.23, 2 Na 3.34
Tl 0.0438 0.0000 0.0000  3 As 3.07, 3 Na 3.23, 2 Tl 3.34
As 0.3109 0.3333 0.6667  3 Tl 3.07, 3 Na 3.15, 2 As 3.34

***

It is a that is most stable; the runner-up trails by 52 meV per atom.

***

## a
Here is crystalline CoNi2Rh at its relaxed geometry from Alexandria. Energies are from PBE-GGA.

Values from the calculation:
SG = I-4m2
crystal system = tetragonal
total moment = 1.0514 μB per atom

Lattice parameters (Å, degrees): 4.0290 4.0290 4.0290 96.64 116.24 116.25
Closest atoms and distances in Å follow each position.
Fractional positions:
Co 0.1250 0.3125 0.4375  4 Rh 2.51, 6 Ni 2.51-2.68
Ni 0.1250 0.8125 0.9375  4 Rh 2.51, 4 Ni 2.51, 2 Co 2.68
Ni 0.6250 0.0625 0.6875  4 Ni 2.51, 4 Co 2.51, 2 Rh 2.68
Rh 0.6250 0.5624 0.1874  6 Ni 2.51-2.68, 4 Co 2.51

***

## b
Here is crystalline CoNi2Rh at its relaxed geometry from Alexandria. Energies are from PBE-GGA.

Values from the calculation:
SG = P4/mmm
crystal system = tetragonal
total moment = 1.0838 μB per atom

Lattice parameters (Å, degrees): 2.9866 2.9866 5.4033 90.00 90.00 90.00
Closest atoms and distances in Å follow each position.
Fractional positions:
Co 0.5000 0.5000 0.7500  8 Ni 2.44, 2 Rh 2.70
Ni 0.0000 0.0000 0.9765  4 Co 2.44, 1 Ni 2.45, 4 Rh 2.58
Ni 0.0000 0.0000 0.5235  4 Co 2.44, 1 Ni 2.45, 4 Rh 2.58
Rh 0.5000 0.5000 0.2500  8 Ni 2.58, 2 Co 2.70

***

It is b that is most stable; the runner-up trails by 8 meV per atom.

***

## a
Here is crystalline Al2Zn2Bi at its relaxed geometry from Alexandria. Energies are from PBE-GGA.

Values from the calculation:
SG = P4/mbm
crystal system = tetragonal
total moment = 0.0000 μB per atom

Lattice parameters (Å, degrees): 7.9245 7.9245 3.1784 90.00 90.00 90.00
Closest atoms and distances in Å follow each position.
Fractional positions:
Zn 0.1767 0.6767 0.5000  6 Al 2.76-2.88
Zn 0.6767 0.8233 0.5000  6 Al 2.76-2.88
Zn 0.8233 0.3233 0.5000  6 Al 2.76-2.88
Zn 0.3233 0.1767 0.5000  6 Al 2.76-2.88
Bi 0.0000 0.0000 0.0000  4 Al 3.15, 2 Bi 3.18, 8 Zn 3.32
Bi 0.5000 0.5000 0.0000  4 Al 3.15, 2 Bi 3.18, 8 Zn 3.32
Al 0.3786 0.8786 0.0000  1 Al 2.72, 6 Zn 2.76-2.88
Al 0.8786 0.6214 0.0000  1 Al 2.72, 6 Zn 2.76-2.88
Al 0.6214 0.1214 0.0000  1 Al 2.72, 6 Zn 2.76-2.88
Al 0.1214 0.3786 0.0000  1 Al 2.72, 6 Zn 2.76-2.88

***

## b
Here is crystalline Al2Zn2Bi at its relaxed geometry from Alexandria. Energies are from PBE-GGA.

Values from the calculation:
SG = P4/mbm
crystal system = tetragonal
total moment = 0.0000 μB per atom

Lattice parameters (Å, degrees): 7.8442 7.8442 3.2376 90.00 90.00 90.00
Closest atoms and distances in Å follow each position.
Fractional positions:
Zn 0.3812 0.8812 0.0000  1 Zn 2.64, 6 Al 2.80-2.85
Zn 0.8812 0.6188 0.0000  1 Zn 2.64, 6 Al 2.80-2.85
Zn 0.6188 0.1188 0.0000  1 Zn 2.64, 6 Al 2.80-2.85
Zn 0.1188 0.3812 0.0000  1 Zn 2.64, 6 Al 2.80-2.85
Bi 0.0000 0.0000 0.0000  4 Zn 3.13, 2 Bi 3.24, 8 Al 3.32
Bi 0.5000 0.5000 0.0000  4 Zn 3.13, 2 Bi 3.24, 8 Al 3.32
Al 0.1755 0.6755 0.5000  6 Zn 2.80-2.85
Al 0.6755 0.8245 0.5000  6 Zn 2.80-2.85
Al 0.8245 0.3245 0.5000  6 Zn 2.80-2.85
Al 0.3245 0.1755 0.5000  6 Zn 2.80-2.85

***

It is a that is most stable; the runner-up trails by 7 meV per atom.